Density functional theory data (GGA-PBE) for a geometry-optimized MnAg2Ru structure.

a = 2.8328 Å, b = 2.8328 Å, c = 7.8640 Å
α = 90.00°, β = 90.00°, γ = 90.00°
Site moments in Bohr magnetons follow the coordinates.
Sites, in units of the cell vectors:
Ag 0.0000 0.0000 0.9896  0.00
Ag 0.5000 0.5000 0.2668  0.04
Mn 0.0000 0.0000 0.5265  2.90
Ru 0.5000 0.5000 0.7171  -0.48

Properties
The total magnetization comes out at 2.6 μB per formula unit. As for the formation enthalpy at 0 K: 0.237 eV per atom. Its energy above the lowest structure with this stoichiometry is 0.000 eV/atom.